i.
Computed, not measured: Zn3BiB after structural relaxation at the PBE level of DFT.

Lattice parameters (Å, degrees): 5.433 5.433 5.433 90.00 90.00 90.00
Element x y z (fractional)
Zn 0.000 0.000 0.500
Zn 0.000 0.500 0.000
Zn 0.500 0.000 0.000
Bi 0.000 0.000 0.000
B 0.500 0.500 0.500

DOS(E_F) ... 3.14 states/eV per cell
ρ ... 4.31 Mg/m³
Magnetization ... 0.0 μB per cell



ii.
Computed, not measured: Zn3BiB after structural relaxation at the PBE level of DFT.

Lattice parameters (Å, degrees): 4.436 4.436 4.436 90.00 90.00 90.00
Element x y z (fractional)
Zn 0.000 0.000 0.500
Zn 0.000 0.500 0.000
Zn 0.500 0.000 0.000
Bi 0.500 0.500 0.500
B 0.000 0.000 0.000

DOS(E_F) ... 3.35 states/eV per cell
ρ ... 7.92 Mg/m³
Magnetization ... 0.0 μB per cell



Stability check: which of them is least stable? i.



i.
Computed, not measured: ZnBiB3 after structural relaxation at the PBE level of DFT.

Lattice parameters (Å, degrees): 4.780 4.780 4.780 90.00 90.00 90.00
Element x y z (fractional)
Zn 0.000 0.000 0.000
Bi 0.500 0.500 0.500
B 0.000 0.500 0.500
B 0.500 0.000 0.500
B 0.500 0.500 0.000

DOS(E_F) ... 2.69 states/eV per cell
ρ ... 4.66 Mg/m³
Magnetization ... 0.0 μB per cell



ii.
Computed, not measured: ZnBiB3 after structural relaxation at the PBE level of DFT.

Lattice parameters (Å, degrees): 4.220 4.220 4.220 90.00 90.00 90.00
Element x y z (fractional)
Zn 0.000 0.000 0.000
Bi 0.500 0.500 0.500
B 0.000 0.000 0.500
B 0.000 0.500 0.000
B 0.500 0.000 0.000

DOS(E_F) ... 1.91 states/eV per cell
ρ ... 6.78 Mg/m³
Magnetization ... 0.0 μB per cell



Stability check: which of them is least stable? i.